1.
Entry from Alexandria via LeMat-Bulk: a relaxed structure of SmNbClO4 (PBE).

Geometry as CIF:
```
data_SmNbClO4
_chemical_formula_sum 'Sm4 Nb4 Cl4 O16'
_symmetry_space_group_name_H-M 'C 1 2/m 1'
_symmetry_Int_Tables_number 12
_symmetry_space_group_name_Hall '-C 2y'
_cell_length_a 11.303
_cell_length_b 7.274
_cell_length_c 7.016
_cell_angle_alpha 90.00
_cell_angle_beta 103.71
_cell_angle_gamma 90.00
loop_
_atom_site_label
_atom_site_type_symbol
_atom_site_fract_x
_atom_site_fract_y
_atom_site_fract_z
Sm1 Sm 0.249 0.000 0.383
Nb1 Nb 0.131 0.000 0.773
Cl1 Cl 0.013 0.500 0.321
O1 O 0.040 0.000 0.285
O2 O 0.192 0.000 0.045
O3 O 0.194 0.191 0.647
```

Uncorrected formation energy   -17.1 eV per formula unit

2.
Entry from Alexandria via LeMat-Bulk: a relaxed structure of NbSnClO2 (PBE).

Geometry as CIF:
```
data_NbSnClO2
_chemical_formula_sum 'Nb1 Sn1 Cl1 O2'
_symmetry_space_group_name_H-M 'P 4/m m m'
_symmetry_Int_Tables_number 123
_symmetry_space_group_name_Hall '-P 4 2'
_cell_length_a 3.952
_cell_length_b 3.952
_cell_length_c 6.292
_cell_angle_alpha 90.00
_cell_angle_beta 90.00
_cell_angle_gamma 90.00
loop_
_atom_site_label
_atom_site_type_symbol
_atom_site_fract_x
_atom_site_fract_y
_atom_site_fract_z
Nb1 Nb 0.000 0.000 0.000
Sn1 Sn 0.000 0.000 0.500
Cl1 Cl 0.500 0.500 0.000
O1 O 0.000 0.500 0.500
```

Uncorrected formation energy   -0.6 eV per formula unit

3.
Entry from Alexandria via LeMat-Bulk: a relaxed structure of Tb3NbCl2O6 (PBE).

Geometry as CIF:
```
data_Tb3NbCl2O6
_chemical_formula_sum 'Tb6 Nb2 Cl4 O12'
_symmetry_space_group_name_H-M 'C 1 2/m 1'
_symmetry_Int_Tables_number 12
_symmetry_space_group_name_Hall '-C 2y'
_cell_length_a 11.551
_cell_length_b 6.597
_cell_length_c 5.543
_cell_angle_alpha 90.00
_cell_angle_beta 100.73
_cell_angle_gamma 90.00
loop_
_atom_site_label
_atom_site_type_symbol
_atom_site_fract_x
_atom_site_fract_y
_atom_site_fract_z
Tb1 Tb 0.000 0.000 0.000
Tb2 Tb 0.250 0.250 0.500
Nb1 Nb 0.000 0.500 0.500
Cl1 Cl 0.206 0.000 0.849
O1 O 0.058 0.263 0.296
O2 O 0.169 0.500 0.670
```

Uncorrected formation energy   -32.8 eV per formula unit

4.
Entry from Alexandria via LeMat-Bulk: a relaxed structure of NbTcClO2 (PBE).

Geometry as CIF:
```
data_NbTcClO2
_chemical_formula_sum 'Nb1 Tc1 Cl1 O2'
_symmetry_space_group_name_H-M 'P 4/m m m'
_symmetry_Int_Tables_number 123
_symmetry_space_group_name_Hall '-P 4 2'
_cell_length_a 3.737
_cell_length_b 3.737
_cell_length_c 7.075
_cell_angle_alpha 90.00
_cell_angle_beta 90.00
_cell_angle_gamma 90.00
loop_
_atom_site_label
_atom_site_type_symbol
_atom_site_fract_x
_atom_site_fract_y
_atom_site_fract_z
Nb1 Nb 0.000 0.000 0.000
Tc1 Tc 0.500 0.500 0.500
Cl1 Cl 0.500 0.500 0.000
O1 O 0.000 0.500 0.500
```

Uncorrected formation energy   -1.0 eV per formula unit

5.
Entry from Alexandria via LeMat-Bulk: a relaxed structure of NbTl2Cl5O (PBE).

Geometry as CIF:
```
data_NbTl2Cl5O
_chemical_formula_sum 'Nb2 Tl4 Cl10 O2'
_symmetry_space_group_name_H-M 'I 4 m m'
_symmetry_Int_Tables_number 107
_symmetry_space_group_name_Hall 'I 4 -2'
_cell_length_a 6.982
_cell_length_b 6.982
_cell_length_c 10.480
_cell_angle_alpha 90.00
_cell_angle_beta 90.00
_cell_angle_gamma 90.00
loop_
_atom_site_label
_atom_site_type_symbol
_atom_site_fract_x
_atom_site_fract_y
_atom_site_fract_z
Nb1 Nb 0.000 0.000 0.000
Tl1 Tl 0.000 0.500 0.254
Cl1 Cl 0.000 0.000 0.256
Cl2 Cl 0.245 0.245 0.025
O1 O 0.000 0.000 0.832
```

Uncorrected formation energy   -12.1 eV per formula unit

6.
Entry from Alexandria via LeMat-Bulk: a relaxed structure of NbTlCl4O (PBE).

Geometry as CIF:
```
data_NbTlCl4O
_chemical_formula_sum 'Nb8 Tl8 Cl32 O8'
_symmetry_space_group_name_H-M 'P b c a'
_symmetry_Int_Tables_number 61
_symmetry_space_group_name_Hall '-P 2ac 2ab'
_cell_length_a 8.096
_cell_length_b 15.307
_cell_length_c 13.408
_cell_angle_alpha 90.00
_cell_angle_beta 90.00
_cell_angle_gamma 90.00
loop_
_atom_site_label
_atom_site_type_symbol
_atom_site_fract_x
_atom_site_fract_y
_atom_site_fract_z
Nb1 Nb 0.193 0.106 0.248
Tl1 Tl 0.009 0.644 0.883
Cl1 Cl 0.152 0.248 0.813
Cl2 Cl 0.157 0.542 0.687
Cl3 Cl 0.159 0.050 0.416
Cl4 Cl 0.160 0.161 0.081
O1 O 0.086 0.606 0.250
```

Uncorrected formation energy   -10.5 eV per formula unit

7.
Entry from Alexandria via LeMat-Bulk: a relaxed structure of Tm3NbCl2O6 (PBE).

Geometry as CIF:
```
data_Tm3NbCl2O6
_chemical_formula_sum 'Tm6 Nb2 Cl4 O12'
_symmetry_space_group_name_H-M 'C 1 2/m 1'
_symmetry_Int_Tables_number 12
_symmetry_space_group_name_Hall '-C 2y'
_cell_length_a 11.355
_cell_length_b 6.484
_cell_length_c 5.465
_cell_angle_alpha 90.00
_cell_angle_beta 101.16
_cell_angle_gamma 90.00
loop_
_atom_site_label
_atom_site_type_symbol
_atom_site_fract_x
_atom_site_fract_y
_atom_site_fract_z
Tm1 Tm 0.000 0.000 0.000
Tm2 Tm 0.250 0.250 0.500
Nb1 Nb 0.000 0.500 0.500
Cl1 Cl 0.204 0.000 0.842
O1 O 0.059 0.260 0.293
O2 O 0.173 0.500 0.671
```

Uncorrected formation energy   -33.5 eV per formula unit

8.
Entry from Alexandria via LeMat-Bulk: a relaxed structure of UNbClO4 (PBE).

Geometry as CIF:
```
data_UNbClO4
_chemical_formula_sum 'U4 Nb4 Cl4 O16'
_symmetry_space_group_name_H-M 'C 1 2/m 1'
_symmetry_Int_Tables_number 12
_symmetry_space_group_name_Hall '-C 2y'
_cell_length_a 10.663
_cell_length_b 7.309
_cell_length_c 6.961
_cell_angle_alpha 90.00
_cell_angle_beta 109.35
_cell_angle_gamma 90.00
loop_
_atom_site_label
_atom_site_type_symbol
_atom_site_fract_x
_atom_site_fract_y
_atom_site_fract_z
U1 U 0.231 0.000 0.127
Nb1 Nb 0.133 0.500 0.255
Cl1 Cl 0.004 0.000 0.766
O1 O 0.054 0.500 0.835
O2 O 0.192 0.500 0.538
O3 O 0.211 0.300 0.163
```

Uncorrected formation energy   -18.2 eV per formula unit

9.
Entry from Alexandria via LeMat-Bulk: a relaxed structure of Y3NbCl2O6 (PBE).

Geometry as CIF:
```
data_Y3NbCl2O6
_chemical_formula_sum 'Y6 Nb2 Cl4 O12'
_symmetry_space_group_name_H-M 'C 1 2/m 1'
_symmetry_Int_Tables_number 12
_symmetry_space_group_name_Hall '-C 2y'
_cell_length_a 11.509
_cell_length_b 6.577
_cell_length_c 5.538
_cell_angle_alpha 90.00
_cell_angle_beta 100.81
_cell_angle_gamma 90.00
loop_
_atom_site_label
_atom_site_type_symbol
_atom_site_fract_x
_atom_site_fract_y
_atom_site_fract_z
Y1 Y 0.000 0.000 0.000
Y2 Y 0.250 0.250 0.500
Nb1 Nb 0.000 0.500 0.500
Cl1 Cl 0.206 0.000 0.848
O1 O 0.058 0.262 0.296
O2 O 0.170 0.500 0.670
```

Uncorrected formation energy   -32.7 eV per formula unit

10.
Entry from Alexandria via LeMat-Bulk: a relaxed structure of NbOsCl3 (PBE).

Geometry as CIF:
```
data_NbOsCl3
_chemical_formula_sum 'Nb1 Os1 Cl3'
_symmetry_space_group_name_H-M 'P m -3 m'
_symmetry_Int_Tables_number 221
_symmetry_space_group_name_Hall '-P 4 2 3'
_cell_length_a 4.786
_cell_length_b 4.786
_cell_length_c 4.786
_cell_angle_alpha 90.00
_cell_angle_beta 90.00
_cell_angle_gamma 90.00
loop_
_atom_site_label
_atom_site_type_symbol
_atom_site_fract_x
_atom_site_fract_y
_atom_site_fract_z
Nb1 Nb 0.000 0.000 0.000
Os1 Os 0.500 0.500 0.500
Cl1 Cl 0.000 0.500 0.500
```

Uncorrected formation energy   4.8 eV per formula unit

11.
Entry from Alexandria via LeMat-Bulk: a relaxed structure of Nb2OsCl2 (PBE).

Geometry as CIF:
```
data_Nb2OsCl2
_chemical_formula_sum 'Nb4 Os2 Cl4'
_symmetry_space_group_name_H-M 'I 4/m m m'
_symmetry_Int_Tables_number 139
_symmetry_space_group_name_Hall '-I 4 2'
_cell_length_a 4.917
_cell_length_b 4.917
_cell_length_c 7.079
_cell_angle_alpha 90.00
_cell_angle_beta 90.00
_cell_angle_gamma 90.00
loop_
_atom_site_label
_atom_site_type_symbol
_atom_site_fract_x
_atom_site_fract_y
_atom_site_fract_z
Nb1 Nb 0.000 0.500 0.250
Os1 Os 0.000 0.000 0.000
Cl1 Cl 0.000 0.000 0.320
```

Uncorrected formation energy   2.6 eV per formula unit
Energy above the most stable polymorph in this dataset   0 meV/atom

12.
Entry from Alexandria via LeMat-Bulk: a relaxed structure of Nb2OsCl2 (PBE).

Geometry as CIF:
```
data_Nb2OsCl2
_chemical_formula_sum 'Nb4 Os2 Cl4'
_symmetry_space_group_name_H-M 'P 4/m b m'
_symmetry_Int_Tables_number 127
_symmetry_space_group_name_Hall '-P 4 2ab'
_cell_length_a 7.564
_cell_length_b 7.564
_cell_length_c 2.826
_cell_angle_alpha 90.00
_cell_angle_beta 90.00
_cell_angle_gamma 90.00
loop_
_atom_site_label
_atom_site_type_symbol
_atom_site_fract_x
_atom_site_fract_y
_atom_site_fract_z
Nb1 Nb 0.183 0.317 0.000
Os1 Os 0.000 0.000 0.500
Cl1 Cl 0.124 0.624 0.500
```

Uncorrected formation energy   2.8 eV per formula unit
Energy above the most stable polymorph in this dataset   35 meV/atom

> Among the records above, which one has the highest uncorrected formation energy?

NbOsCl3